(1)
A geometry-optimized CsRb2Au structure. Source: the Alexandria database, functional GGA-PBE.

Unit cell a=6.441 b=5.860 c=5.860 alpha=90.00 beta=90.00 gamma=90.00
Sites, in units of the cell vectors:
Cs 0.500 0.500 0.500
Au 0.500 0.000 0.000
Rb 0.000 0.000 0.500
Rb 0.000 0.500 0.000

Its crystal system is tetragonal. The formation energy from the elements is -0.03 eV per atom. The value obtained for the total energy is -6.19 eV per cell. The relative energy among the computed polymorphs comes out at 0.1294 eV/atom. Its space group is P4/mmm (123).



(2)
A geometry-optimized PrTmPdPt structure. Source: the Alexandria database, functional GGA-PBE.

Unit cell a=5.025 b=5.025 c=5.025 alpha=60.00 beta=60.00 gamma=60.00
Sites, in units of the cell vectors:
Pr 0.500 0.500 0.500
Tm 0.000 0.000 0.000
Pd 0.250 0.250 0.250
Pt 0.750 0.750 0.750

Its crystal system is cubic. The formation energy from the elements is -0.97 eV per atom. The value obtained for the total energy is -24.35 eV per cell. The relative energy among the computed polymorphs comes out at 0.0667 eV/atom. Its space group is F-43m (216).



(3)
A geometry-optimized CeDy6Tm3Sc2 structure. Source: the Alexandria database, functional GGA-PBE.

Unit cell a=6.028 b=6.028 c=11.543 alpha=94.99 beta=94.99 gamma=119.98
Each line ends with the local moment (μB).
Sites, in units of the cell vectors:
Ce 0.000 0.000 0.000  0.73
Dy 0.918 0.584 0.753  0.03
Dy 0.749 0.749 0.247  0.02
Dy 0.082 0.416 0.247  0.03
Dy 0.584 0.918 0.753  0.03
Dy 0.251 0.251 0.753  0.02
Dy 0.416 0.082 0.247  0.03
Tm 0.168 0.832 0.500  -0.01
Tm 0.832 0.168 0.500  -0.01
Tm 0.500 0.500 0.500  -0.01
Sc 0.333 0.667 0.000  0.05
Sc 0.667 0.333 0.000  0.05

Its crystal system is monoclinic. The formation energy from the elements is 0.05 eV per atom. The value obtained for the total energy is -58.98 eV per cell. Its space group is C2/m (12).



(4)
A geometry-optimized Ag8Te3Se structure. Source: the Alexandria database, functional GGA-PBE.

Unit cell a=4.685 b=7.387 c=8.306 alpha=95.97 beta=90.05 gamma=89.49
Sites, in units of the cell vectors:
Ag 0.393 0.553 0.795
Ag 0.017 0.880 0.837
Ag 0.645 0.186 0.723
Ag 0.393 0.408 0.440
Ag 0.893 0.605 0.558
Ag 0.164 0.796 0.279
Ag 0.873 0.443 0.204
Ag 0.483 0.120 0.168
Te 0.162 0.252 0.921
Te 0.908 0.177 0.420
Te 0.671 0.750 0.073
Se 0.396 0.798 0.580

Its crystal system is triclinic. The value obtained for the total energy is -36.19 eV per cell. For the uncorrected formation energy, the calculation gives -0.04 eV per atom. Its space group is P1 (1).



(5)
A geometry-optimized Zr2Sc2Pa structure. Source: the Alexandria database, functional GGA-PBE.

Unit cell a=3.223 b=3.223 c=13.377 alpha=83.08 beta=83.08 gamma=60.00
Sites, in units of the cell vectors:
Zr 0.801 0.801 0.596
Zr 0.199 0.199 0.404
Sc 0.401 0.401 0.797
Sc 0.599 0.599 0.203
Pa 0.000 0.000 0.000

Its crystal system is trigonal. The formation energy from the elements is 0.07 eV per atom. The value obtained for the total energy is -38.93 eV per cell. Its space group is R-3m (166).



(6)
A geometry-optimized Hg2WSe structure. Source: the Alexandria database, functional GGA-PBE.

Unit cell a=2.842 b=2.842 c=10.674 alpha=90.00 beta=90.00 gamma=104.43
Sites, in units of the cell vectors:
Hg 0.000 0.000 0.972
Hg 0.000 0.000 0.528
Se 0.500 0.500 0.250
W 0.500 0.500 0.750

Its crystal system is orthorhombic. The value obtained for the total energy is -14.11 eV per cell. For the uncorrected formation energy, the calculation gives 0.73 eV per atom. Its space group is Cmmm (65).



(7)
A geometry-optimized HfGeSe4 structure. Source: the Alexandria database, functional GGA-PBE.

Unit cell a=6.054 b=6.054 c=10.196 alpha=90.00 beta=90.00 gamma=90.00
Sites, in units of the cell vectors:
Hf 0.000 0.000 0.000
Hf 0.000 0.000 0.500
Ge 0.000 0.500 0.250
Ge 0.500 0.000 0.750
Se 0.276 0.245 0.879
Se 0.724 0.755 0.879
Se 0.245 0.276 0.379
Se 0.276 0.755 0.621
Se 0.724 0.245 0.621
Se 0.245 0.724 0.121
Se 0.755 0.276 0.121
Se 0.755 0.724 0.379

Its crystal system is tetragonal. The value obtained for the total energy is -64.06 eV per cell. For the uncorrected formation energy, the calculation gives -0.59 eV per atom. Its space group is P-42c (112).



Copy entry 5 word for word.
A geometry-optimized Zr2Sc2Pa structure. Source: the Alexandria database, functional GGA-PBE.

Unit cell a=3.223 b=3.223 c=13.377 alpha=83.08 beta=83.08 gamma=60.00
Sites, in units of the cell vectors:
Zr 0.801 0.801 0.596
Zr 0.199 0.199 0.404
Sc 0.401 0.401 0.797
Sc 0.599 0.599 0.203
Pa 0.000 0.000 0.000

Its crystal system is trigonal. The formation energy from the elements is 0.07 eV per atom. The value obtained for the total energy is -38.93 eV per cell. Its space group is R-3m (166).